A crystal of TlIr2Pb relaxed with PBEsol. Source: Alexandria, functional SCAN.

* ΔH_f (0 K): 2.42 eV per formula unit
* D(E_F): 0.838 states/eV/atom
* total moment: 0.0 Bohr magnetons per cell
* raw total energy: -71.979 eV/atom

```
TlIr2Pb
1.0
2.982 0.000 0.000
0.000 4.485 0.000
0.000 0.000 11.914
Tl Ir Pb
2 4 2
Cartesian
0.000 0.000 0.000
1.491 2.243 5.957
0.000 0.000 6.143
0.000 2.243 9.874
1.491 0.000 3.917
1.491 2.243 0.186
0.000 2.243 2.725
1.491 0.000 8.682
```

A crystal of IrPbW3 relaxed with PBEsol. Source: Alexandria, functional SCAN.

* ΔH_f (0 K): 9.70 eV per formula unit
* E above lowest polymorph: 0 meV/atom
* D(E_F): 1.224 states/eV/atom
* total moment: 0.0 Bohr magnetons per cell
* raw total energy: -69.248 eV/atom

```
IrPbW3
1.0
4.771 0.000 0.000
0.000 4.771 0.000
0.000 0.000 4.771
Ir Pb W
1 1 3
Cartesian
0.000 0.000 0.000
2.385 2.385 2.385
0.000 0.000 2.385
0.000 2.385 0.000
2.385 0.000 0.000
```

Q: Which value of raw total energy does entry 1 give?
A: -71.979 eV/atom

Q: Number 1 is which compound?
A: TlIr2Pb

Q: What is the formula in the second record?
A: IrPbW3

Repeat the second record exactly.
A crystal of IrPbW3 relaxed with PBEsol. Source: Alexandria, functional SCAN.

* ΔH_f (0 K): 9.70 eV per formula unit
* E above lowest polymorph: 0 meV/atom
* D(E_F): 1.224 states/eV/atom
* total moment: 0.0 Bohr magnetons per cell
* raw total energy: -69.248 eV/atom

```
IrPbW3
1.0
4.771 0.000 0.000
0.000 4.771 0.000
0.000 0.000 4.771
Ir Pb W
1 1 3
Cartesian
0.000 0.000 0.000
2.385 2.385 2.385
0.000 0.000 2.385
0.000 2.385 0.000
2.385 0.000 0.000
```